# 1
Computed, not measured: a relaxed structure of LiTb2Ni3Ge4 at the GGA-PBE level of DFT.

Geometry as POSCAR:
```
LiTb2Ni3Ge4
1.0
4.113 0.000 0.000
0.000 4.113 0.000
0.000 0.000 9.772
Li Tb Ni Ge
1 2 3 4
Direct
0.500 0.500 0.500
0.500 0.000 0.249
0.000 0.500 0.751
0.000 0.000 0.500
0.500 0.000 0.877
0.000 0.500 0.123
0.500 0.500 0.000
0.000 0.000 0.000
0.500 0.000 0.636
0.000 0.500 0.364
```

symmetry = P-4m2

# 2
Computed, not measured: a relaxed structure of LiTb2Ni4Ge3 at the GGA-PBE level of DFT.

Geometry as POSCAR:
```
LiTb2Ni4Ge3
1.0
-2.646 2.940 -0.844
-2.918 -2.091 1.863
2.220 4.420 8.437
Li Tb Ni Ge
1 2 4 3
Direct
0.500 0.500 0.500
0.500 0.000 0.248
0.000 0.500 0.752
0.500 0.500 0.000
0.000 0.000 0.000
0.500 0.000 0.630
0.000 0.500 0.370
0.000 0.000 0.500
0.500 0.000 0.868
0.000 0.500 0.132
```

symmetry = P-4m2

# 3
Computed, not measured: a relaxed structure of LiTbNiGe2 at the GGA-PBE level of DFT.

Geometry as POSCAR:
```
LiTbNiGe2
1.0
4.042 0.000 0.000
0.000 4.042 0.000
-2.021 -2.021 5.162
Li Tb Ni Ge
1 1 1 2
Direct
0.750 0.250 0.500
0.000 0.000 0.000
0.250 0.750 0.500
0.621 0.621 0.242
0.379 0.379 0.758
```

symmetry = I-4m2

# 4
Computed, not measured: a relaxed structure of LiTh2Ni3Ge4 at the GGA-PBE level of DFT.

Geometry as POSCAR:
```
LiTh2Ni3Ge4
1.0
4.209 0.000 0.000
0.000 4.209 0.000
0.000 0.000 9.722
Li Th Ni Ge
1 2 3 4
Direct
0.500 0.500 0.500
0.500 0.000 0.250
0.000 0.500 0.750
0.000 0.000 0.500
0.500 0.000 0.880
0.000 0.500 0.120
0.500 0.500 0.000
0.000 0.000 0.000
0.500 0.000 0.633
0.000 0.500 0.367
```

symmetry = P-4m2

# 5
Computed, not measured: a relaxed structure of LiThNi2Ge2 at the GGA-PBE level of DFT.

Geometry as POSCAR:
```
LiThNi2Ge2
1.0
-0.537 -2.777 3.003
3.678 1.798 -0.514
-1.819 4.929 4.233
Li Th Ni Ge
1 1 2 2
Direct
0.000 0.000 0.500
0.000 0.000 0.000
0.667 0.333 0.339
0.333 0.667 0.661
0.667 0.333 0.705
0.333 0.667 0.295
```

symmetry = P-3m1

# 6
Computed, not measured: a relaxed structure of LiThNiGe2 at the GGA-PBE level of DFT.

Geometry as POSCAR:
```
LiThNiGe2
1.0
-3.993 -0.415 -1.079
0.785 -3.821 -1.435
0.567 0.184 5.839
Li Th Ni Ge
1 1 1 2
Direct
0.750 0.250 0.500
0.000 0.000 0.000
0.250 0.750 0.500
0.626 0.626 0.253
0.374 0.374 0.747
```

symmetry = I-4m2

no.,density of states at the Fermi level (states/eV per cell),energy of formation (meV/atom)
1,4.62,-653
2,7.53,-616
3,2.92,-630
4,5.62,-683
5,4.54,-598
6,1.70,-652